[1]
Nb2SnHg PBE relaxed; total moment = 0.000 μB/atom; E_form = 450 meV/atom; E = -5.661 eV per atom; volume = 171.47 Å³/cell; SG = I-42d, No. 122
1.0
-5.145 2.691 4.996
-5.644 -3.124 -4.130
-5.171 -2.679 1.990
Nb Hg Sn
4 2 2
Direct
0.622 0.125 0.250 Nb
0.128 0.625 0.250 Nb
0.375 0.378 0.750 Nb
0.875 0.872 0.750 Nb
0.000 0.000 0.000 Hg
0.750 0.250 0.500 Hg
0.500 0.500 0.000 Sn
0.250 0.750 0.500 Sn

---

[2]
NbSn2Hg PBE relaxed; total moment = 0.000 μB/atom; E_form = 81 meV/atom; E = -4.513 eV per atom; volume = 94.68 Å³/cell; SG = R-3m, No. 166
1.0
3.188 0.000 0.000
1.594 2.761 0.000
1.594 0.920 10.757
Nb Hg Sn
1 1 2
Direct
0.500 0.500 0.500 Nb
0.000 0.000 0.000 Hg
0.094 0.094 0.719 Sn
0.906 0.906 0.281 Sn

---

[3]
NbSnHg2 PBE relaxed; total moment = 0.000 μB/atom; E_form = 537 meV/atom; E = -3.132 eV per atom; volume = 96.96 Å³/cell; SG = R-3m, No. 166
1.0
3.096 0.000 0.000
1.548 2.682 0.000
1.548 0.894 11.678
Nb Hg Sn
1 2 1
Direct
0.000 0.000 0.000 Nb
0.083 0.083 0.752 Hg
0.917 0.917 0.248 Hg
0.500 0.500 0.500 Sn

---

[4]
NbSnHg2 PBE relaxed; total moment = 0.000 μB/atom; E_form = 409 meV/atom; E = -3.261 eV per atom; volume = 185.95 Å³/cell; SG = I-42d, No. 122
1.0
8.009 0.000 0.000
0.000 8.009 0.000
4.004 4.004 2.899
Nb Hg Sn
2 4 2
Direct
0.500 0.500 0.000 Nb
0.250 0.750 0.500 Nb
0.615 0.125 0.250 Hg
0.135 0.625 0.250 Hg
0.375 0.385 0.750 Hg
0.875 0.865 0.750 Hg
0.000 0.000 0.000 Sn
0.750 0.250 0.500 Sn